Entry 1:
PRhI2 | PBE-GGA | relaxed Values from VASP.

Quantum ESPRESSO input file:
```
&SYSTEM
  ibrav = 0, nat = 4, ntyp = 3
/
ATOMIC_SPECIES
P 30.97 P.upf
Rh 102.91 Rh.upf
I 126.90 I.upf
ATOMIC_POSITIONS crystal
P 0.000 0.000 0.000
Rh 0.500 0.500 0.500
I 0.250 0.250 0.250
I 0.750 0.750 0.750
CELL_PARAMETERS angstrom
0.000 3.515 3.515
3.515 0.000 3.515
3.515 3.515 0.000
```

Output
**Mass density**: 7.4 g/cm³
**Space group**: Fm-3m (225)
**Raw total energy**: -12.2 eV for the cell shown

Entry 2:
PRhI2 | PBE-GGA | relaxed Values from VASP.

Quantum ESPRESSO input file:
```
&SYSTEM
  ibrav = 0, nat = 8, ntyp = 3
/
ATOMIC_SPECIES
P 30.97 P.upf
Rh 102.91 Rh.upf
I 126.90 I.upf
ATOMIC_POSITIONS crystal
P 0.000 0.000 0.000
P 0.750 0.250 0.500
Rh 0.250 0.750 0.500
Rh 0.500 0.500 0.000
I 0.152 0.625 0.027
I 0.375 0.402 0.527
I 0.598 0.125 0.973
I 0.875 0.848 0.473
CELL_PARAMETERS angstrom
-3.616 3.616 3.994
3.616 -3.616 3.994
3.616 3.616 -3.994
```

Output
**Mass density**: 6.2 g/cm³
**Space group**: I-42d (122)
**Raw total energy**: -26.3 eV for the cell shown

Entry 3:
P2RhI2 | PBE-GGA | relaxed Values from VASP.

Quantum ESPRESSO input file:
```
&SYSTEM
  ibrav = 0, nat = 5, ntyp = 3
/
ATOMIC_SPECIES
P 30.97 P.upf
Rh 102.91 Rh.upf
I 126.90 I.upf
ATOMIC_POSITIONS crystal
P 0.250 0.750 0.500
P 0.750 0.250 0.500
Rh 0.000 0.000 0.000
I 0.422 0.422 0.000
I 0.578 0.578 0.000
CELL_PARAMETERS angstrom
-1.670 1.670 11.280
1.670 -1.670 11.280
1.670 1.670 -11.280
```

Output
**Mass density**: 5.5 g/cm³
**Space group**: I4/mmm (139)
**Raw total energy**: -18.6 eV for the cell shown

Entry 4:
P2RhI2 | PBE-GGA | relaxed Values from VASP.

Quantum ESPRESSO input file:
```
&SYSTEM
  ibrav = 0, nat = 10, ntyp = 3
/
ATOMIC_SPECIES
P 30.97 P.upf
Rh 102.91 Rh.upf
I 126.90 I.upf
ATOMIC_POSITIONS crystal
P 0.093 0.407 0.000
P 0.407 0.907 0.000
P 0.593 0.093 0.000
P 0.907 0.593 0.000
Rh 0.000 0.000 0.500
Rh 0.500 0.500 0.500
I 0.179 0.679 0.500
I 0.321 0.179 0.500
I 0.679 0.821 0.500
I 0.821 0.321 0.500
CELL_PARAMETERS angstrom
7.195 0.000 0.000
0.000 7.195 0.000
0.000 0.000 8.275
```

Output
**Mass density**: 3.2 g/cm³
**Space group**: P4/mbm (127)
**Raw total energy**: -37.2 eV for the cell shown

Entry 5:
P2RhI | PBE-GGA | relaxed Values from VASP.

Quantum ESPRESSO input file:
```
&SYSTEM
  ibrav = 0, nat = 8, ntyp = 3
/
ATOMIC_SPECIES
P 30.97 P.upf
Rh 102.91 Rh.upf
I 126.90 I.upf
ATOMIC_POSITIONS crystal
P 0.021 0.625 0.896
P 0.375 0.271 0.396
P 0.729 0.125 0.104
P 0.875 0.979 0.604
Rh 0.000 0.000 0.000
Rh 0.750 0.250 0.500
I 0.250 0.750 0.500
I 0.500 0.500 0.000
CELL_PARAMETERS angstrom
-3.175 3.175 5.014
3.175 -3.175 5.014
3.175 3.175 -5.014
```

Output
**Mass density**: 4.8 g/cm³
**Space group**: I-42d (122)
**Raw total energy**: -38.2 eV for the cell shown

Entry 6:
P2Rh2I | PBE-GGA | relaxed Values from VASP.

Quantum ESPRESSO input file:
```
&SYSTEM
  ibrav = 0, nat = 5, ntyp = 3
/
ATOMIC_SPECIES
P 30.97 P.upf
Rh 102.91 Rh.upf
I 126.90 I.upf
ATOMIC_POSITIONS crystal
P 0.172 0.172 0.000
P 0.828 0.828 0.000
Rh 0.250 0.750 0.500
Rh 0.750 0.250 0.500
I 0.500 0.500 0.000
CELL_PARAMETERS angstrom
-1.930 1.930 8.323
1.930 -1.930 8.323
1.930 1.930 -8.323
```

Output
**Mass density**: 5.3 g/cm³
**Space group**: I4/mmm (139)
**Raw total energy**: -28.6 eV for the cell shown

Entry 7:
PRh2I | PBE-GGA | relaxed Values from VASP.

Quantum ESPRESSO input file:
```
&SYSTEM
  ibrav = 0, nat = 4, ntyp = 3
/
ATOMIC_SPECIES
P 30.97 P.upf
Rh 102.91 Rh.upf
I 126.90 I.upf
ATOMIC_POSITIONS crystal
P 0.000 0.000 0.000
Rh 0.250 0.250 0.250
Rh 0.750 0.750 0.750
I 0.500 0.500 0.500
CELL_PARAMETERS angstrom
0.000 3.220 3.220
3.220 0.000 3.220
3.220 3.220 0.000
```

Output
**Mass density**: 9.0 g/cm³
**Space group**: Fm-3m (225)
**Raw total energy**: -20.1 eV for the cell shown

Entry 8:
P2RhI | PBE-GGA | relaxed Values from VASP.

Quantum ESPRESSO input file:
```
&SYSTEM
  ibrav = 0, nat = 4, ntyp = 3
/
ATOMIC_SPECIES
P 30.97 P.upf
Rh 102.91 Rh.upf
I 126.90 I.upf
ATOMIC_POSITIONS crystal
P 0.250 0.250 0.250
P 0.750 0.750 0.750
Rh 0.000 0.000 0.000
I 0.500 0.500 0.500
CELL_PARAMETERS angstrom
0.000 3.273 3.273
3.273 0.000 3.273
3.273 3.273 0.000
```

Output
**Mass density**: 6.9 g/cm³
**Space group**: Fm-3m (225)
**Raw total energy**: -16.2 eV for the cell shown

Entry 9:
P2Rh2I | PBE-GGA | relaxed Values from VASP.

Quantum ESPRESSO input file:
```
&SYSTEM
  ibrav = 0, nat = 10, ntyp = 3
/
ATOMIC_SPECIES
P 30.97 P.upf
Rh 102.91 Rh.upf
I 126.90 I.upf
ATOMIC_POSITIONS crystal
P 0.117 0.383 0.000
P 0.383 0.883 0.000
P 0.617 0.117 0.000
P 0.883 0.617 0.000
Rh 0.124 0.624 0.500
Rh 0.376 0.124 0.500
Rh 0.624 0.876 0.500
Rh 0.876 0.376 0.500
I 0.000 0.000 0.500
I 0.500 0.500 0.500
CELL_PARAMETERS angstrom
7.737 0.000 0.000
0.000 7.737 0.000
0.000 0.000 3.089
```

Output
**Mass density**: 7.1 g/cm³
**Space group**: P4/mbm (127)
**Raw total energy**: -54.0 eV for the cell shown

Entry 10:
PRh2I | PBE-GGA | relaxed Values from VASP.

Quantum ESPRESSO input file:
```
&SYSTEM
  ibrav = 0, nat = 8, ntyp = 3
/
ATOMIC_SPECIES
P 30.97 P.upf
Rh 102.91 Rh.upf
I 126.90 I.upf
ATOMIC_POSITIONS crystal
P 0.000 0.000 0.000
P 0.750 0.250 0.500
Rh 0.045 0.625 0.920
Rh 0.375 0.295 0.420
Rh 0.705 0.125 0.080
Rh 0.875 0.955 0.580
I 0.250 0.750 0.500
I 0.500 0.500 0.000
CELL_PARAMETERS angstrom
-2.586 2.586 6.429
2.586 -2.586 6.429
2.586 2.586 -6.429
```

Output
**Mass density**: 7.0 g/cm³
**Space group**: I-42d (122)
**Raw total energy**: -44.0 eV for the cell shown

Entry 11:
P2Rh2I | PBE-GGA | relaxed Values from VASP.

Quantum ESPRESSO input file:
```
&SYSTEM
  ibrav = 0, nat = 5, ntyp = 3
/
ATOMIC_SPECIES
P 30.97 P.upf
Rh 102.91 Rh.upf
I 126.90 I.upf
ATOMIC_POSITIONS crystal
P 0.250 0.750 0.500
P 0.750 0.250 0.500
Rh 0.151 0.151 0.000
Rh 0.849 0.849 0.000
I 0.500 0.500 0.000
CELL_PARAMETERS angstrom
-1.951 1.951 6.611
1.951 -1.951 6.611
1.951 1.951 -6.611
```

Output
**Mass density**: 6.5 g/cm³
**Space group**: I4/mmm (139)
**Raw total energy**: -27.6 eV for the cell shown

Entry 12:
P2Rh2I | PBE-GGA | relaxed Values from VASP.

Quantum ESPRESSO input file:
```
&SYSTEM
  ibrav = 0, nat = 10, ntyp = 3
/
ATOMIC_SPECIES
P 30.97 P.upf
Rh 102.91 Rh.upf
I 126.90 I.upf
ATOMIC_POSITIONS crystal
P 0.113 0.387 0.000
P 0.387 0.887 0.000
P 0.613 0.113 0.000
P 0.887 0.613 0.000
Rh 0.120 0.620 0.500
Rh 0.380 0.120 0.500
Rh 0.620 0.880 0.500
Rh 0.880 0.380 0.500
I 0.000 0.000 0.000
I 0.500 0.500 0.000
CELL_PARAMETERS angstrom
8.083 0.000 0.000
0.000 8.083 0.000
0.000 0.000 3.032
```

Output
**Mass density**: 6.6 g/cm³
**Space group**: P4/mbm (127)
**Raw total energy**: -52.3 eV for the cell shown

> Look up the raw total energy of the tenth one.

-44.0 eV for the cell shown

> The lowest raw total energy belongs to which entry?

number 9

> What is the formula in the eighth record?

P2RhI